[1]
VASP calculation (PBE) on an optimized crystal structure of YOsPdAu2.

```
YOsPdAu2
1.0
-4.4821 0.8279 2.1425
0.6985 -3.7199 2.8988
2.1751 3.0392 3.3759
Au Y Os Pd
2 1 1 1
direct
0.5000 0.0000 0.0000
0.0000 0.0000 0.5000
0.5000 0.5000 0.5000
0.0000 0.0000 0.0000
0.0000 0.5000 0.0000
```

Properties
* N(E_F): 4.1 states/eV/f.u.
* total DFT energy (no corrections): -5.3418 eV per atom

[2]
VASP calculation (PBE) on an optimized crystal structure of PmEuBiBr.

```
PmEuBiBr
1.0
5.5377 0.0000 0.0000
2.7689 4.7958 0.0000
2.7689 1.5986 4.5215
Br Pm Eu Bi
1 1 1 1
direct
0.7500 0.7500 0.7500
0.0000 0.0000 0.0000
0.5000 0.5000 0.5000
0.2500 0.2500 0.2500
```

Properties
* formation energy from raw total energies: -1.034 eV per atom
* N(E_F): 1.6 states/eV/f.u.

[3]
VASP calculation (PBE) on an optimized crystal structure of AlBiCl2.

```
AlBiCl2
1.0
2.0824 0.0000 9.6052
-1.0412 1.8034 9.6052
-1.0412 -1.8034 9.6052
Bi Al Cl
1 1 2
direct
0.0000 0.0000 0.0000
0.5000 0.5000 0.5000
0.9042 0.9042 0.9042
0.0958 0.0958 0.0958
```

Properties
* formation energy from raw total energies: -0.374 eV per atom
* N(E_F): 0.6 states/eV/f.u.
* energy relative to the lowest polymorph listed for this composition: 0.00 kcal/mol of atoms

[4]
VASP calculation (PBE) on an optimized crystal structure of Sm6DyCd5.

```
Sm6DyCd5
1.0
5.1554 0.0215 -1.5044
-1.0708 6.8589 -3.5718
-0.0531 0.4492 9.4106
Cd Dy Sm
5 1 6
direct
0.6546 0.1546 0.3091
0.6687 0.6687 0.3374
0.3313 0.3313 0.6626
0.0000 0.5000 0.0000
0.3454 0.8454 0.6909
0.0000 0.0000 0.0000
0.1709 0.9149 0.3417
0.1709 0.4268 0.3417
0.8291 0.0851 0.6583
0.5000 0.2677 0.0000
0.8291 0.5732 0.6583
0.5000 0.7323 0.0000
```

Properties
* N(E_F): 16.4 states/eV/f.u.
* total DFT energy (no corrections): -3.3458 eV per atom

[5]
VASP calculation (PBE) on an optimized crystal structure of InAgRh2.

```
InAgRh2
1.0
-4.5292 -3.0966 0.3212
-3.8663 1.2779 3.6911
2.9239 1.4879 -4.4094
In Rh Ag
1 2 1
direct
0.7594 0.2594 0.5000
0.0048 0.0048 0.0000
0.2381 0.7381 0.5000
0.4977 0.4977 0.0000
```

Properties
* N(E_F): 4.3 states/eV/f.u.
* total DFT energy (no corrections): -5.0517 eV per atom

[6]
VASP calculation (PBE) on an optimized crystal structure of LaScNi.

```
LaScNi
1.0
-4.0753 2.3929 -0.2960
-2.9781 0.0684 3.6807
-0.5935 3.9826 2.4917
Sc La Ni
1 1 1
direct
0.0000 0.0000 0.0000
0.5000 0.5000 0.5000
0.7500 0.7500 0.7500
```

Properties
* N(E_F): 3.3 states/eV/f.u.
* energy relative to the lowest polymorph listed for this composition: 2.97 kcal/mol of atoms

[7]
VASP calculation (PBE) on an optimized crystal structure of Y2GaGe2Rh5.

```
Y2GaGe2Rh5
1.0
-2.9037 1.2009 -1.6492
0.2071 -7.7244 -5.9892
-5.6166 -4.9968 6.2503
Ge Rh Y Ga
4 10 4 2
direct
0.0000 0.6254 0.8746
0.0000 0.1254 0.6254
0.0000 0.8746 0.3746
0.0000 0.3746 0.1254
0.5000 0.5663 0.7053
0.5000 0.0663 0.7947
0.5000 0.0000 0.5000
0.5000 0.2053 0.0663
0.5000 0.4337 0.2947
0.5000 0.7947 0.9337
0.5000 0.9337 0.2053
0.5000 0.5000 0.0000
0.5000 0.7053 0.4337
0.5000 0.2947 0.5663
0.0000 0.6738 0.1738
0.0000 0.8262 0.6738
0.0000 0.3262 0.8262
0.0000 0.1738 0.3262
0.0000 0.0000 0.0000
0.0000 0.5000 0.5000
```

Properties
* N(E_F): 3.3 states/eV/f.u.
* total DFT energy (no corrections): -6.9970 eV per atom

[8]
VASP calculation (PBE) on an optimized crystal structure of BeZnTe2N.

```
BeZnTe2N
1.0
-1.8015 -5.2600 0.1251
2.8074 -0.8492 4.7251
-2.8634 1.0255 1.8855
Te N Zn Be
2 1 1 1
direct
0.5000 0.0000 0.0000
0.0000 0.5000 0.0000
0.0000 0.0000 0.5000
0.0000 0.0000 0.0000
0.5000 0.5000 0.5000
```

Properties
* formation energy from raw total energies: 1.143 eV per atom
* N(E_F): 3.8 states/eV/f.u.
* energy relative to the lowest polymorph listed for this composition: 18.62 kcal/mol of atoms

| no. | total moment (μB per formula unit) |
| --- | --- |
| 1 | 0.0 |
| 2 | 7.9 |
| 3 | 0.0 |
| 4 | 0.0 |
| 5 | 0.0 |
| 6 | 0.0 |
| 7 | 0.0 |
| 8 | 1.6 |